[1]
A plane-wave DFT calculation with GGA-PBE was carried out for a relaxed structure of MnAlPd5.

spin magnetization: 4.36 μB/f.u.
total DFT energy (no corrections): -5.896 eV per atom
ΔE to the lowest computed polymorph: 0.054 eV per atom
DFT formation energy: -341.8 meV per atom

a b c (Å): 7.807 10.877 5.974
angles (deg): 90.00 120.78 90.00
Space group C2/c (No. 15)
One atom of each set of equivalent atoms:
Mn 0.000 0.000 0.000 [4 per cell]
Al 0.000 0.365 0.250 [4 per cell]
Pd 0.000 0.210 0.750 [4 per cell]
Pd 0.167 0.438 0.014 [8 per cell]
Pd 0.201 0.178 0.291 [8 per cell]



[2]
A plane-wave DFT calculation with GGA-PBE was carried out for a relaxed structure of Na3Pu2AlS6.

raw formation energy: -1.353 eV per atom
spin magnetization: 10.00 μB/f.u.
total DFT energy (no corrections): -6.447 eV per atom

a b c (Å): 6.777 11.752 7.004
angles (deg): 90.00 108.94 90.00
Space group C2/m (No. 12)
One atom of each set of equivalent atoms:
Na 0.000 0.000 0.000 [2 per cell]
Na 0.000 0.333 0.000 [4 per cell]
Pu 0.000 0.167 0.500 [4 per cell]
Al 0.000 0.500 0.500 [2 per cell]
S 0.226 0.347 0.719 [8 per cell]
S 0.232 0.500 0.287 [4 per cell]



[3]
A plane-wave DFT calculation with GGA-PBE was carried out for a relaxed structure of PmDyGaRu.

spin magnetization: 0.00 μB/f.u.
total DFT energy (no corrections): -5.861 eV per atom
ΔE to the lowest computed polymorph: 0.000 eV per atom
DFT formation energy: -446.7 meV per atom

a b c (Å): 4.343 3.991 10.789
angles (deg): 90.00 90.00 90.00
Space group Amm2 (No. 38)
One atom of each set of equivalent atoms:
Pm 0.000 0.000 0.000 [2 per cell]
Dy 0.500 0.000 0.284 [2 per cell]
Ga 0.500 0.000 0.581 [2 per cell]
Ru 0.000 0.000 0.713 [2 per cell]



[4]
A plane-wave DFT calculation with GGA-PBE was carried out for a relaxed structure of LaYGe.

spin magnetization: 0.63 μB/f.u.
total DFT energy (no corrections): -5.997 eV per atom
ΔE to the lowest computed polymorph: 0.000 eV per atom
DFT formation energy: -660.3 meV per atom

a b c (Å): 4.537 4.537 16.685
angles (deg): 90.00 90.00 90.00
Space group I4/mmm (No. 139)
One atom of each set of equivalent atoms:
La 0.000 0.000 0.180 [4 per cell]
Y 0.000 0.500 0.000 [4 per cell]
Ge 0.000 0.000 0.373 [4 per cell]



[5]
A plane-wave DFT calculation with GGA-PBE was carried out for a relaxed structure of NaSr2SbSe.

raw formation energy: -0.332 eV per atom
spin magnetization: 0.00 μB/f.u.
total DFT energy (no corrections): -2.789 eV per atom

a b c (Å): 6.270 6.270 5.810
angles (deg): 90.00 90.00 90.00
Space group P4/mmm (No. 123)
One atom of each set of equivalent atoms:
Na 0.000 0.000 0.000 [1 per cell]
Sr 0.000 0.500 0.500 [2 per cell]
Sb 0.500 0.500 0.500 [1 per cell]
Se 0.500 0.500 0.000 [1 per cell]



[6]
A plane-wave DFT calculation with GGA-PBE was carried out for a relaxed structure of SrCa2Rh.

spin magnetization: 0.00 μB/f.u.
total DFT energy (no corrections): -3.437 eV per atom
ΔE to the lowest computed polymorph: 0.108 eV per atom
DFT formation energy: -178.4 meV per atom

a b c (Å): 3.592 3.592 9.988
angles (deg): 90.00 90.00 90.00
Space group P4/mmm (No. 123)
One atom of each set of equivalent atoms:
Sr 0.000 0.000 0.000 [1 per cell]
Ca 0.500 0.500 0.337 [2 per cell]
Rh 0.000 0.000 0.500 [1 per cell]



[7]
A plane-wave DFT calculation with GGA-PBE was carried out for a relaxed structure of LiIrCl5.

raw formation energy: -0.735 eV per atom
spin magnetization: 1.05 μB/f.u.
total DFT energy (no corrections): -3.593 eV per atom

a b c (Å): 9.015 10.053 8.925
angles (deg): 90.00 118.08 90.00
Space group C2/c (No. 15)
One atom of each set of equivalent atoms:
Li 0.000 0.136 0.250 [4 per cell]
Ir 0.000 0.500 0.000 [4 per cell]
Cl 0.000 0.418 0.750 [4 per cell]
Cl 0.055 0.275 0.482 [8 per cell]
Cl 0.212 0.042 0.850 [8 per cell]



[8]
A plane-wave DFT calculation with GGA-PBE was carried out for a relaxed structure of TaAlH3.

spin magnetization: 0.00 μB/f.u.
total DFT energy (no corrections): -4.504 eV per atom

a b c (Å): 3.446 3.446 3.446
angles (deg): 90.00 90.00 90.00
Space group Pm-3m (No. 221)
One atom of each set of equivalent atoms:
Ta 0.000 0.000 0.000 [1 per cell]
Al 0.500 0.500 0.500 [1 per cell]
H 0.000 0.500 0.500 [3 per cell]



[9]
A plane-wave DFT calculation with GGA-PBE was carried out for a relaxed structure of Ac4GeRh2.

spin magnetization: 0.00 μB/f.u.
total DFT energy (no corrections): -5.648 eV per atom
ΔE to the lowest computed polymorph: 0.091 eV per atom
DFT formation energy: -540.1 meV per atom

a b c (Å): 9.761 9.761 9.953
angles (deg): 90.00 90.00 90.00
Space group I4_1md (No. 109)
One atom of each set of equivalent atoms:
Ac 0.000 0.192 0.000 [8 per cell]
Ac 0.000 0.308 0.576 [8 per cell]
Ge 0.000 0.000 0.662 [4 per cell]
Rh 0.000 0.250 0.288 [8 per cell]



[10]
A plane-wave DFT calculation with GGA-PBE was carried out for a relaxed structure of La12NdSm5.

spin magnetization: 0.00 μB/f.u.
total DFT energy (no corrections): -4.843 eV per atom
DFT formation energy: 17.9 meV per atom

a b c (Å): 19.231 11.061 6.424
angles (deg): 90.00 109.21 90.00
Space group C2/m (No. 12)
One atom of each set of equivalent atoms:
La 0.000 0.168 0.000 [4 per cell]
La 0.000 0.330 0.500 [4 per cell]
La 0.167 0.169 0.834 [8 per cell]
La 0.167 0.331 0.334 [8 per cell]
Nd 0.000 0.500 0.000 [2 per cell]
Sm 0.000 0.000 0.500 [2 per cell]
Sm 0.167 0.000 0.334 [4 per cell]
Sm 0.167 0.500 0.833 [4 per cell]



[11]
A plane-wave DFT calculation with GGA-PBE was carried out for a relaxed structure of Sc4CoAu.

spin magnetization: 0.00 μB/f.u.
total DFT energy (no corrections): -6.391 eV per atom
ΔE to the lowest computed polymorph: 0.000 eV per atom
DFT formation energy: -439.9 meV per atom

a b c (Å): 7.996 11.510 5.535
angles (deg): 90.00 105.57 90.00
Space group C2/c (No. 15)
One atom of each set of equivalent atoms:
Sc 0.105 0.168 0.043 [8 per cell]
Sc 0.206 0.422 0.400 [8 per cell]
Co 0.000 0.001 0.250 [4 per cell]
Au 0.000 0.368 0.750 [4 per cell]



[12]
A plane-wave DFT calculation with GGA-PBE was carried out for a relaxed structure of BaNiSe2.

raw formation energy: -0.926 eV per atom
spin magnetization: 0.00 μB/f.u.
total DFT energy (no corrections): -4.594 eV per atom

a b c (Å): 3.791 6.312 8.354
angles (deg): 90.00 90.00 90.00
Space group Immm (No. 71)
One atom of each set of equivalent atoms:
Ba 0.000 0.000 0.000 [2 per cell]
Ni 0.000 0.000 0.500 [2 per cell]
Se 0.000 0.500 0.173 [4 per cell]